# 1
KTa2Mn | PBE-GGA | optimized geometry

a b c (Å): 4.838 4.838 7.527
angles (deg): 95.51 95.51 36.74
Fractional positions:
1 K 0.000 0.000 0.000
2 Ta 0.215 0.215 0.621
3 Ta 0.470 0.470 0.453
4 Mn 0.736 0.736 0.388

Calculated values
Space-group type: No. 8
E_form: 0.911 eV per atom
E above lowest polymorph: 255 meV/atom

# 2
KTa2Mn | PBE-GGA | optimized geometry

a b c (Å): 4.027 4.027 5.126
angles (deg): 90.00 90.00 90.00
Fractional positions:
1 K 0.000 0.000 0.000
2 Ta 0.000 0.500 0.500
3 Ta 0.500 0.000 0.500
4 Mn 0.500 0.500 0.000

Calculated values
Space-group type: No. 123
E_form: 1.453 eV per atom
E above lowest polymorph: 796 meV/atom

# 3
KTa2Mn | PBE-GGA | optimized geometry

a b c (Å): 5.973 5.973 2.754
angles (deg): 90.00 90.00 123.39
Fractional positions:
1 K 0.000 0.000 0.000
2 Ta 0.000 0.500 0.500
3 Ta 0.500 0.000 0.500
4 Mn 0.500 0.500 0.000

Calculated values
Space-group type: No. 65
E_form: 1.340 eV per atom
E above lowest polymorph: 683 meV/atom

# 4
KTa2Mn | PBE-GGA | optimized geometry

a b c (Å): 3.080 3.906 8.079
angles (deg): 90.00 95.43 90.00
Fractional positions:
1 K 0.000 0.000 0.000
2 Ta 0.405 0.500 0.627
3 Ta 0.862 0.000 0.447
4 Mn 0.344 0.500 0.347

Calculated values
Space-group type: No. 6
E_form: 0.738 eV per atom
E above lowest polymorph: 81 meV/atom

# 5
KTa3Mn | PBE-GGA | optimized geometry

a b c (Å): 4.547 4.547 4.547
angles (deg): 90.00 90.00 90.00
Fractional positions:
1 K 0.000 0.000 0.000
2 Ta 0.000 0.000 0.500
3 Ta 0.000 0.500 0.000
4 Ta 0.500 0.000 0.000
5 Mn 0.500 0.500 0.500

Calculated values
Space-group type: No. 221
E_form: 3.285 eV per atom
E above lowest polymorph: 2056 meV/atom

# 6
KTa2Mn | PBE-GGA | optimized geometry

a b c (Å): 2.929 5.054 5.630
angles (deg): 90.00 90.00 90.00
Fractional positions:
1 K 0.000 0.000 0.000
2 Ta 0.000 0.500 0.500
3 Ta 0.500 0.000 0.500
4 Mn 0.500 0.500 0.000

Calculated values
Space-group type: No. 47
E_form: 1.286 eV per atom
E above lowest polymorph: 629 meV/atom

# 7
KTa4Mn | PBE-GGA | optimized geometry

a b c (Å): 5.658 5.658 5.658
angles (deg): 60.00 60.00 60.00
Fractional positions:
1 K 0.000 0.000 0.000
2 Ta 0.375 0.375 0.375
3 Ta 0.375 0.375 0.876
4 Ta 0.375 0.876 0.375
5 Ta 0.876 0.375 0.375
6 Mn 0.750 0.750 0.750

Calculated values
Space-group type: No. 216
E_form: 1.121 eV per atom

# 8
KTa2Mn | PBE-GGA | optimized geometry

a b c (Å): 4.638 4.638 4.638
angles (deg): 60.00 60.00 60.00
Fractional positions:
1 K 0.000 0.000 0.000
2 Ta 0.250 0.250 0.250
3 Ta 0.750 0.750 0.750
4 Mn 0.500 0.500 0.500

Calculated values
Space-group type: No. 225
E_form: 1.488 eV per atom
E above lowest polymorph: 831 meV/atom

# 9
KTa2Mn | PBE-GGA | optimized geometry

a b c (Å): 5.721 5.721 5.793
angles (deg): 107.82 107.82 29.32
Fractional positions:
1 K 0.000 0.000 0.000
2 Ta 0.198 0.198 0.658
3 Ta 0.802 0.802 0.342
4 Mn 0.500 0.500 0.500

Calculated values
Space-group type: No. 12
E_form: 1.000 eV per atom
E above lowest polymorph: 343 meV/atom

# 10
KTa2Mn | PBE-GGA | optimized geometry

a b c (Å): 2.941 2.941 9.929
angles (deg): 90.00 90.00 90.00
Fractional positions:
1 K 0.000 0.000 0.000
2 Ta 0.500 0.500 0.341
3 Ta 0.500 0.500 0.659
4 Mn 0.000 0.000 0.500

Calculated values
Space-group type: No. 123
E_form: 0.657 eV per atom
E above lowest polymorph: 0 meV/atom

# 11
KTa2Mn | PBE-GGA | optimized geometry

a b c (Å): 4.841 4.841 4.841
angles (deg): 119.64 119.64 90.63
Fractional positions:
1 K 0.000 0.000 0.000
2 Ta 0.500 0.500 0.000
3 Ta 0.750 0.250 0.500
4 Mn 0.250 0.750 0.500

Calculated values
Space-group type: No. 119
E_form: 1.478 eV per atom
E above lowest polymorph: 821 meV/atom

# 12
KTa2Mn | PBE-GGA | optimized geometry

a b c (Å): 4.710 4.710 3.226
angles (deg): 90.00 90.00 90.00
Fractional positions:
1 K 0.000 0.000 0.000
2 Ta 0.000 0.500 0.500
3 Ta 0.500 0.000 0.500
4 Mn 0.500 0.500 0.000

Calculated values
Space-group type: No. 123
E_form: 1.706 eV per atom
E above lowest polymorph: 1049 meV/atom

# 13
K4Tb3MnTe8 | PBE-GGA | optimized geometry

a b c (Å): 9.709 9.709 9.709
angles (deg): 54.43 54.43 54.43
Fractional positions:
1 K 0.000 0.000 0.000
2 K 0.000 0.500 0.500
3 K 0.500 0.000 0.500
4 K 0.500 0.500 0.000
5 Tb 0.000 0.000 0.500
6 Tb 0.000 0.500 0.000
7 Tb 0.500 0.000 0.000
8 Mn 0.500 0.500 0.500
9 Te 0.237 0.237 0.237
10 Te 0.251 0.724 0.724
11 Te 0.276 0.276 0.749
12 Te 0.276 0.749 0.276
13 Te 0.724 0.251 0.724
14 Te 0.724 0.724 0.251
15 Te 0.749 0.276 0.276
16 Te 0.763 0.763 0.763

Calculated values
Space-group type: No. 166
Formation energy (no corrections): -18.28 eV/f.u.

# 14
K2TbMnTe4 | PBE-GGA | optimized geometry

a b c (Å): 9.211 9.211 9.211
angles (deg): 122.05 120.32 87.96
Fractional positions:
1 K 0.000 0.000 0.000
2 K 0.500 0.000 0.000
3 K 0.500 0.000 0.500
4 K 0.500 0.500 0.500
5 Tb 0.000 0.500 0.500
6 Tb 0.500 0.500 0.000
7 Mn 0.000 0.000 0.500
8 Mn 0.000 0.500 0.000
9 Te 0.181 0.739 0.442
10 Te 0.203 0.261 0.942
11 Te 0.240 0.261 0.521
12 Te 0.240 0.719 0.979
13 Te 0.760 0.281 0.021
14 Te 0.760 0.739 0.479
15 Te 0.797 0.739 0.058
16 Te 0.819 0.261 0.558

Calculated values
Space-group type: No. 74
Formation energy (no corrections): -6.92 eV/f.u.

# 15
K3Tb3MnTe8 | PBE-GGA | optimized geometry

a b c (Å): 9.846 9.846 9.846
angles (deg): 52.76 52.76 52.76
Fractional positions:
1 K 0.000 0.500 0.500
2 K 0.500 0.000 0.500
3 K 0.500 0.500 0.000
4 Tb 0.000 0.000 0.500
5 Tb 0.000 0.500 0.000
6 Tb 0.500 0.000 0.000
7 Mn 0.500 0.500 0.500
8 Te 0.237 0.237 0.237
9 Te 0.261 0.716 0.716
10 Te 0.284 0.284 0.739
11 Te 0.284 0.739 0.284
12 Te 0.716 0.261 0.716
13 Te 0.716 0.716 0.261
14 Te 0.739 0.284 0.284
15 Te 0.763 0.763 0.763

Calculated values
Space-group type: No. 166
Formation energy (no corrections): -16.35 eV/f.u.

# 16
KMnTc2 | PBE-GGA | optimized geometry

a b c (Å): 2.723 4.892 5.234
angles (deg): 90.00 90.00 90.00
Fractional positions:
1 K 0.000 0.000 0.000
2 Mn 0.500 0.500 0.000
3 Tc 0.000 0.500 0.500
4 Tc 0.500 0.000 0.500

Calculated values
Space-group type: No. 47
E_form: 1.348 eV per atom
E above lowest polymorph: 672 meV/atom

# 17
KMnTc4 | PBE-GGA | optimized geometry

a b c (Å): 5.297 5.297 5.297
angles (deg): 60.00 60.00 60.00
Fractional positions:
1 K 0.000 0.000 0.000
2 Mn 0.750 0.750 0.750
3 Tc 0.375 0.375 0.375
4 Tc 0.375 0.375 0.874
5 Tc 0.375 0.874 0.375
6 Tc 0.874 0.375 0.375

Calculated values
Space-group type: No. 216
E_form: 0.973 eV per atom

# 18
KMnTc2 | PBE-GGA | optimized geometry

a b c (Å): 10.116 10.116 10.116
angles (deg): 16.03 16.03 16.03
Fractional positions:
1 K 0.000 0.000 0.000
2 Mn 0.500 0.500 0.500
3 Tc 0.232 0.232 0.232
4 Tc 0.768 0.768 0.768

Calculated values
Space-group type: No. 166
E_form: 0.791 eV per atom
E above lowest polymorph: 116 meV/atom

# 19
K2MnTc | PBE-GGA | optimized geometry

a b c (Å): 12.090 12.090 12.090
angles (deg): 13.90 13.90 13.90
Fractional positions:
1 K 0.086 0.086 0.086
2 K 0.914 0.914 0.914
3 Mn 0.000 0.000 0.000
4 Tc 0.500 0.500 0.500

Calculated values
Space-group type: No. 166
E_form: 1.385 eV per atom
E above lowest polymorph: 625 meV/atom

# 20
KMn2Tc | PBE-GGA | optimized geometry

a b c (Å): 5.179 5.179 2.721
angles (deg): 90.00 90.00 99.83
Fractional positions:
1 K 0.000 0.000 0.000
2 Mn 0.000 0.500 0.500
3 Mn 0.500 0.000 0.500
4 Tc 0.500 0.500 0.000

Calculated values
Space-group type: No. 65
E_form: 1.185 eV per atom
E above lowest polymorph: 557 meV/atom

Q: Which total magnetic moment values were calculated for the entries above? A: 0.002; 2.383; 2.859; 0.000; 0.000; 3.271; 3.411; 0.001; 1.690; 0.005; 3.515; 0.371; 4.050; 7.999; 3.083; 3.091; 3.179; 2.042; 2.607; 7.618, in μB/cell.